Record 1
# AlCd3Pd4, relaxed, DFT GGA-PBE
data_AlCd3Pd4
_cell_length_a 3.0513
_cell_length_b 3.0513
_cell_length_c 14.3820
_cell_angle_alpha 90.00
_cell_angle_beta 90.00
_cell_angle_gamma 90.00
_symmetry_space_group_name_H-M 'P 4/m m m'
_symmetry_Int_Tables_number 123
_symmetry_space_group_name_Hall '-P 4 2'
loop_
_atom_site_label
_atom_site_fract_x
_atom_site_fract_y
_atom_site_fract_z
_atom_site_occupancy
Al1 0.0000 0.0000 0.0000 1
Cd1 0.0000 0.0000 0.2395 1
Cd2 0.0000 0.0000 0.5000 1
Pd1 0.5000 0.5000 0.1024 1
Pd2 0.5000 0.5000 0.3698 1
# * crystal system: tetragonal
# * electronic total energy: -3.9574 eV/atom
# * DFT formation energy: -0.5500 eV per atom

Record 2
# Al2Cd2Pd, relaxed, DFT GGA-PBE
data_Al2Cd2Pd
_cell_length_a 6.6483
_cell_length_b 6.6483
_cell_length_c 4.3593
_cell_angle_alpha 90.00
_cell_angle_beta 90.00
_cell_angle_gamma 90.00
_symmetry_space_group_name_H-M 'P 4/m b m'
_symmetry_Int_Tables_number 127
_symmetry_space_group_name_Hall '-P 4 2ab'
loop_
_atom_site_label
_atom_site_fract_x
_atom_site_fract_y
_atom_site_fract_z
_atom_site_occupancy
Al1 0.1437 0.3563 0.0000 1
Cd1 0.1673 0.6673 0.5000 1
Pd1 0.0000 0.0000 0.0000 1
# * crystal system: tetragonal
# * polymorph energy (0 for the lowest one): 0 meV per atom
# * electronic total energy: -2.9938 eV/atom
# * DFT formation energy: -0.0922 eV per atom

Record 3
# AlCdPd3, relaxed, DFT GGA-PBE
data_AlCdPd3
_cell_length_a 4.9145
_cell_length_b 4.9145
_cell_length_c 4.9145
_cell_angle_alpha 90.00
_cell_angle_beta 90.00
_cell_angle_gamma 90.00
_symmetry_space_group_name_H-M 'P m -3 m'
_symmetry_Int_Tables_number 221
_symmetry_space_group_name_Hall '-P 4 2 3'
loop_
_atom_site_label
_atom_site_fract_x
_atom_site_fract_y
_atom_site_fract_z
_atom_site_occupancy
Al1 0.0000 0.0000 0.0000 1
Cd1 0.5000 0.5000 0.5000 1
Pd1 0.0000 0.5000 0.5000 1
# * crystal system: cubic
# * polymorph energy (0 for the lowest one): 1283 meV per atom
# * electronic total energy: -3.2643 eV/atom
# * DFT formation energy: 0.7830 eV per atom

Record 4
# Al2CdPd3, relaxed, DFT GGA-PBE
data_Al2CdPd3
_cell_length_a 3.0769
_cell_length_b 3.0769
_cell_length_c 9.8642
_cell_angle_alpha 90.00
_cell_angle_beta 90.00
_cell_angle_gamma 90.00
_symmetry_space_group_name_H-M 'P 4/m m m'
_symmetry_Int_Tables_number 123
_symmetry_space_group_name_Hall '-P 4 2'
loop_
_atom_site_label
_atom_site_fract_x
_atom_site_fract_y
_atom_site_fract_z
_atom_site_occupancy
Al1 0.0000 0.0000 0.1576 1
Cd1 0.0000 0.0000 0.5000 1
Pd1 0.5000 0.5000 0.0000 1
Pd2 0.5000 0.5000 0.2995 1
# * crystal system: tetragonal
# * electronic total energy: -4.7588 eV/atom
# * DFT formation energy: -0.7623 eV per atom

Record 5
# AlCd2Pd2, relaxed, DFT GGA-PBE
data_AlCd2Pd2
_cell_length_a 7.6285
_cell_length_b 7.6285
_cell_length_c 3.1661
_cell_angle_alpha 90.00
_cell_angle_beta 90.00
_cell_angle_gamma 90.00
_symmetry_space_group_name_H-M 'P 4/m b m'
_symmetry_Int_Tables_number 127
_symmetry_space_group_name_Hall '-P 4 2ab'
loop_
_atom_site_label
_atom_site_fract_x
_atom_site_fract_y
_atom_site_fract_z
_atom_site_occupancy
Al1 0.0000 0.0000 0.0000 1
Cd1 0.1343 0.3657 0.0000 1
Pd1 0.1645 0.6645 0.5000 1
# * crystal system: tetragonal
# * polymorph energy (0 for the lowest one): 279 meV per atom
# * electronic total energy: -3.3425 eV/atom
# * DFT formation energy: -0.1508 eV per atom

Record 6
# Al2CdPd8, relaxed, DFT GGA-PBE
data_Al2CdPd8
_cell_length_a 4.0922
_cell_length_b 6.9583
_cell_length_c 12.2165
_cell_angle_alpha 90.00
_cell_angle_beta 90.00
_cell_angle_gamma 90.00
_symmetry_space_group_name_H-M 'I m m m'
_symmetry_Int_Tables_number 71
_symmetry_space_group_name_Hall '-I 2 2'
loop_
_atom_site_label
_atom_site_fract_x
_atom_site_fract_y
_atom_site_fract_z
_atom_site_occupancy
Al1 0.0000 0.0000 0.1938 1
Cd1 0.0000 0.0000 0.5000 1
Pd1 0.0000 0.1927 0.0000 1
Pd2 0.0000 0.2837 0.3378 1
Pd3 0.0000 0.5000 0.1521 1
# * crystal system: orthorhombic
# * polymorph energy (0 for the lowest one): 30 meV per atom
# * electronic total energy: -5.0517 eV/atom
# * DFT formation energy: -0.5115 eV per atom